First-principles (PBE) data for Tb4CdNiHg2 after structural relaxation, as listed in the Alexandria database.

Formation energy: -39 kJ per mole of atoms

a = 5.201 Å, b = 5.201 Å, c = 8.899 Å
α = 73.01°, β = 73.01°, γ = 60.00°
Atoms (fractional coordinates):
Tb1 0.386 0.386 0.842
Tb2 0.868 0.868 0.397
Tb3 0.132 0.132 0.603
Tb4 0.614 0.614 0.158
Cd1 0.000 0.000 0.000
Ni1 0.500 0.500 0.500
Hg1 0.741 0.741 0.777
Hg2 0.259 0.259 0.223

First-principles (PBE) data for MgSeN2 after structural relaxation, as listed in the Alexandria database.

ΔE to the lowest computed polymorph: 20 meV/atom

a = 6.036 Å, b = 6.036 Å, c = 6.036 Å
α = 31.94°, β = 31.94°, γ = 31.94°
Atoms (fractional coordinates):
Mg1 0.500 0.500 0.500
Se1 0.000 0.000 0.000
N1 0.896 0.896 0.896
N2 0.104 0.104 0.104

First-principles (PBE) data for Ag3PdF after structural relaxation, as listed in the Alexandria database.

ΔE to the lowest computed polymorph: 0 meV/atom

a = 4.530 Å, b = 4.530 Å, c = 4.530 Å
α = 90.00°, β = 90.00°, γ = 90.00°
Atoms (fractional coordinates):
Pd1 0.500 0.500 0.500
Ag1 0.000 0.500 0.000
Ag2 0.000 0.000 0.500
Ag3 0.500 0.000 0.000
F1 0.000 0.000 0.000

First-principles (PBE) data for La2CeCo9 after structural relaxation, as listed in the Alexandria database.

Formation energy: -7 kJ per mole of atoms

a = 4.968 Å, b = 4.968 Å, c = 8.929 Å
α = 73.85°, β = 73.85°, γ = 60.00°
Last column: magnetic moment on the atom in μB.
Atoms (fractional coordinates):
La1 0.861 0.861 0.417  -0.24
La2 0.139 0.139 0.583  -0.24
Ce1 0.000 0.000 0.000  -0.72
Co1 0.668 0.668 0.997  1.26
Co2 0.332 0.332 0.003  1.26
Co3 0.500 0.500 0.500  0.80
Co4 0.423 0.423 0.235  1.16
Co5 0.919 0.423 0.235  1.16
Co6 0.423 0.919 0.235  1.16
Co7 0.577 0.577 0.765  1.16
Co8 0.577 0.081 0.765  1.16
Co9 0.081 0.577 0.765  1.16

First-principles (PBE) data for La2OsAu2 after structural relaxation, as listed in the Alexandria database.

Formation energy: -4 kJ per mole of atoms
ΔE to the lowest computed polymorph: 146 meV/atom

a = 5.787 Å, b = 5.787 Å, c = 5.714 Å
α = 59.58°, β = 59.58°, γ = 90.00°
Atoms (fractional coordinates):
Os1 0.000 0.000 0.000
Au1 0.337 0.337 0.325
Au2 0.663 0.663 0.675
La1 0.750 0.250 0.500
La2 0.250 0.750 0.500

First-principles (PBE) data for Pr2GdTe after structural relaxation, as listed in the Alexandria database.

ΔE to the lowest computed polymorph: 49 meV/atom

a = 4.034 Å, b = 4.034 Å, c = 10.323 Å
α = 78.73°, β = 78.73°, γ = 60.00°
Last column: magnetic moment on the atom in μB.
Atoms (fractional coordinates):
Pr1 0.261 0.261 0.216  0.06
Pr2 0.739 0.739 0.784  0.06
Gd1 0.500 0.500 0.500  7.40
Te1 0.000 0.000 0.000  0.01